Density functional theory data (PBE-GGA) for an optimized crystal structure of TaZn2Ir.

Computed properties:
* E_tot: -5.83 eV/atom
* magnetization: 0.0 Bohr magnetons per cell

```
TaZn2Ir
1.0
3.016 0.000 0.000
0.000 3.016 0.000
0.000 0.000 6.614
Ta Zn Ir
1 2 1
Direct
0.000 0.000 0.000
0.500 0.500 0.275
0.500 0.500 0.725
0.000 0.000 0.500
```

***

Density functional theory data (PBE-GGA) for an optimized crystal structure of LaFe2HgAs.

Computed properties:
* E_tot: -5.05 eV/atom
* magnetization: 3.9 Bohr magnetons per cell

```
LaFe2HgAs
1.0
4.492 0.000 0.000
0.000 4.492 0.000
0.000 0.000 5.231
La Fe Hg As
1 2 1 1
Direct
0.000 0.000 0.000
0.000 0.500 0.500
0.500 0.000 0.500
0.500 0.500 0.000
0.500 0.500 0.500
```

***

Density functional theory data (PBE-GGA) for an optimized crystal structure of MnFePt2.

Computed properties:
* E_tot: -7.65 eV/atom
* magnetization: 7.5 Bohr magnetons per cell

```
MnFePt2
1.0
4.598 -1.394 0.000
4.598 1.394 0.000
-0.834 0.000 4.563
Mn Fe Pt
1 1 2
Direct
0.000 0.000 0.000
0.757 0.757 0.300
0.253 0.253 0.802
0.501 0.501 0.492
```

***

Density functional theory data (PBE-GGA) for an optimized crystal structure of MgAlPb2.

Computed properties:
* energy above the lowest structure with this stoichiometry: 87 meV per atom
* magnetization: 0.0 Bohr magnetons per cell

```
MgAlPb2
1.0
0.000 3.753 3.753
3.753 0.000 3.753
3.753 3.753 0.000
Mg Al Pb
1 1 2
Direct
0.000 0.000 0.000
0.750 0.750 0.750
0.250 0.250 0.250
0.500 0.500 0.500
```

***

Density functional theory data (PBE-GGA) for an optimized crystal structure of HfTa5Al2.

Computed properties:
* E_tot: -9.58 eV/atom
* magnetization: 0.0 Bohr magnetons per cell

```
HfTa5Al2
1.0
-1.635 4.349 5.242
1.635 -4.349 5.242
1.635 4.349 -5.242
Hf Ta Al
1 5 2
Direct
0.000 0.000 0.000
0.155 0.359 0.796
0.437 0.641 0.796
0.500 0.000 0.500
0.563 0.359 0.204
0.845 0.641 0.204
0.229 0.729 0.500
0.771 0.271 0.500
```

***

Density functional theory data (PBE-GGA) for an optimized crystal structure of K2BaTe.

Computed properties:
* formation energy from raw total energies: -654 meV/atom
* magnetization: 0.1 Bohr magnetons per cell

```
K2BaTe
1.0
-2.252 2.839 8.667
2.252 -2.839 8.667
2.252 2.839 -8.667
K Ba Te
2 1 1
Direct
0.000 0.000 0.000
0.651 0.151 0.500
0.321 0.321 0.000
0.172 0.672 0.500
```

***

Density functional theory data (PBE-GGA) for an optimized crystal structure of TiIn2GaTc.

Computed properties:
* E_tot: -4.24 eV/atom
* magnetization: 2.3 Bohr magnetons per cell

```
TiIn2GaTc
1.0
4.973 0.000 0.000
0.000 4.973 0.000
0.000 0.000 4.834
Ti In Ga Tc
1 2 1 1
Direct
0.000 0.000 0.000
0.000 0.500 0.500
0.500 0.000 0.500
0.000 0.000 0.500
0.500 0.500 0.000
```